Compound: NdTiGaIr2
Source: Alexandria
Functional: PBE
Structure: optimized geometry

abc: 4.067 4.067 11.646
angles: 90.00 90.00 90.00
Space group I-4m2 (No. 119)
Symmetry-distinct sites (fractional):
Nd1 0.000 0.000 0.000 x2
Ti1 0.000 0.500 0.750 x2
Ga1 0.000 0.500 0.250 x2
Ir1 0.000 0.000 0.386 x4

Properties
Calculated formation energy, meV/atom: -769